# GaSnAu PBE-GGA relaxed
data_GaSnAu
_symmetry_space_group_name_H-M 'P 1 21/c 1'
_symmetry_Int_Tables_number 14
_cell_length_a 8.2105
_cell_length_b 3.7287
_cell_length_c 11.8770
_cell_angle_alpha 90.00
_cell_angle_beta 131.83
_cell_angle_gamma 90.00
loop_
_symmetry_equiv_pos_as_xyz
'x,y,z'
'-x,-y,-z'
'-x,y+1/2,-z+1/2'
'x,-y+1/2,z+1/2'
loop_
_atom_site_label
_atom_site_type_symbol
_atom_site_fract_x
_atom_site_fract_y
_atom_site_fract_z
Ga1 Ga 0.0852 0.2476 0.1827
Sn1 Sn 0.3483 0.2478 0.6063
Au1 Au 0.3015 0.7482 0.3966
# calculated formation energy = -97 meV/atom
# mass density = 9.4 Mg/m³

# Sc2NbMo PBE-GGA relaxed
data_Sc2NbMo
_symmetry_space_group_name_H-M 'I -4 2 d'
_symmetry_Int_Tables_number 122
_symmetry_space_group_name_Hall 'I -4 2bw'
_cell_length_a 7.4923
_cell_length_b 7.4923
_cell_length_c 5.7207
_cell_angle_alpha 90.00
_cell_angle_beta 90.00
_cell_angle_gamma 90.00
loop_
_atom_site_label
_atom_site_type_symbol
_atom_site_fract_x
_atom_site_fract_y
_atom_site_fract_z
Sc1 Sc 0.2343 0.2500 0.1250
Nb1 Nb 0.0000 0.0000 0.5000
Mo1 Mo 0.0000 0.0000 0.0000
# calculated formation energy = 664 meV/atom
# mass density = 5.8 Mg/m³
# energy above the lowest structure with this stoichiometry = 312 meV per atom

# Se2NCl PBE-GGA relaxed
data_Se2NCl
_symmetry_space_group_name_H-M 'I -4 2 d'
_symmetry_Int_Tables_number 122
_symmetry_space_group_name_Hall 'I -4 2bw'
_cell_length_a 6.4808
_cell_length_b 6.4808
_cell_length_c 7.5565
_cell_angle_alpha 90.00
_cell_angle_beta 90.00
_cell_angle_gamma 90.00
loop_
_atom_site_label
_atom_site_type_symbol
_atom_site_fract_x
_atom_site_fract_y
_atom_site_fract_z
Se1 Se 0.1391 0.7500 0.1250
N1 N 0.0000 0.0000 0.0000
Cl1 Cl 0.0000 0.0000 0.5000
# E_form (uncorrected) = 0.835 eV/atom
# mass density = 4.3 Mg/m³
# energy above the lowest structure with this stoichiometry = 391 meV per atom

# BeBi2Sb4 PBE-GGA relaxed
data_BeBi2Sb4
_symmetry_space_group_name_H-M 'I 4/m m m'
_symmetry_Int_Tables_number 139
_symmetry_space_group_name_Hall '-I 4 2'
_cell_length_a 4.8991
_cell_length_b 4.8991
_cell_length_c 16.4370
_cell_angle_alpha 90.00
_cell_angle_beta 90.00
_cell_angle_gamma 90.00
loop_
_atom_site_label
_atom_site_type_symbol
_atom_site_fract_x
_atom_site_fract_y
_atom_site_fract_z
Be1 Be 0.0000 0.0000 0.0000
Bi1 Bi 0.0000 0.0000 0.3526
Sb1 Sb 0.0000 0.0000 0.1617
Sb2 Sb 0.0000 0.5000 0.0000
# E_form (uncorrected) = 0.342 eV/atom
# mass density = 7.7 Mg/m³